## Fe2O3F (PBE with a Hubbard U)

Data for crystalline Fe2O3F at its relaxed geometry. Values from VASP.

Geometry as Quantum ESPRESSO input:
```
&SYSTEM
  ibrav = 0, nat = 24, ntyp = 3
/
ATOMIC_SPECIES
F 19.00 F.upf
O 16.00 O.upf
Fe 55.84 Fe.upf
CELL_PARAMETERS angstrom
3.009 4.704 -0.014
-3.009 4.704 -0.014
0.000 4.025 9.334
ATOMIC_POSITIONS crystal
F 0.223 0.223 0.851
O 0.703 0.199 0.903
Fe 0.372 0.882 0.250
F 0.975 0.975 0.351
O 0.454 0.955 0.402
O 0.546 0.045 0.598
Fe 0.118 0.628 0.750
O 0.497 0.497 0.339
F 0.025 0.025 0.649
O 0.801 0.297 0.097
O 0.263 0.263 0.159
Fe 0.882 0.372 0.250
Fe 0.719 0.719 0.520
F 0.777 0.777 0.149
Fe 0.281 0.281 0.480
Fe 0.500 0.500 0.000
O 0.199 0.703 0.903
Fe 0.000 0.000 0.000
O 0.045 0.546 0.598
Fe 0.628 0.118 0.750
O 0.503 0.503 0.661
O 0.297 0.801 0.097
O 0.737 0.737 0.841
O 0.955 0.454 0.402
```

Computed properties:
Space-group type: C2/m
Crystal system: monoclinic

## Fe6O7F5 (PBE with a Hubbard U)

Data for crystalline Fe6O7F5 at its relaxed geometry. Values from VASP.

Geometry as Quantum ESPRESSO input:
```
&SYSTEM
  ibrav = 0, nat = 18, ntyp = 3
/
ATOMIC_SPECIES
F 19.00 F.upf
Fe 55.84 Fe.upf
O 16.00 O.upf
CELL_PARAMETERS angstrom
-1.819 -3.677 -2.256
5.010 -2.466 -0.313
-0.787 -3.838 6.613
ATOMIC_POSITIONS crystal
F 0.203 0.368 0.431
F 0.202 0.035 0.775
Fe 0.511 0.817 0.655
O 0.188 0.710 0.102
O 0.804 0.627 0.548
Fe 0.480 0.499 0.998
Fe 0.980 0.662 0.318
F 0.697 0.793 0.891
Fe 0.558 0.179 0.344
O 0.806 0.960 0.231
Fe 0.994 0.000 0.009
O 0.303 0.539 0.767
F 0.301 0.881 0.432
O 0.798 0.290 0.909
F 0.304 0.202 0.113
Fe 0.974 0.350 0.681
O 0.703 0.123 0.575
O 0.692 0.465 0.221
```

Computed properties:
Space-group type: P1
Crystal system: triclinic

## Fe5OF11 (PBE with a Hubbard U)

Data for crystalline Fe5OF11 at its relaxed geometry. Values from VASP.

Geometry as Quantum ESPRESSO input:
```
&SYSTEM
  ibrav = 0, nat = 17, ntyp = 3
/
ATOMIC_SPECIES
F 19.00 F.upf
Fe 55.84 Fe.upf
O 16.00 O.upf
CELL_PARAMETERS angstrom
5.610 0.244 -0.033
-2.640 4.596 -0.059
-0.443 -3.246 8.833
ATOMIC_POSITIONS crystal
F 0.377 0.431 0.162
Fe 0.656 0.645 0.660
F 0.646 0.552 0.843
F 0.143 0.562 0.372
F 0.163 0.657 0.928
Fe 0.168 0.655 0.152
F 0.808 0.272 0.017
O 0.642 0.691 0.474
F 0.974 0.040 0.767
Fe 0.488 0.963 0.497
Fe 0.334 0.324 0.336
F 0.509 0.068 0.303
F 0.830 0.374 0.629
F 0.320 0.245 0.537
F 0.021 0.947 0.222
F 0.487 0.923 0.715
Fe 0.827 0.312 0.829
```

Computed properties:
Space-group type: P1
Crystal system: triclinic

## Fe2O3F (PBE with a Hubbard U)

Data for crystalline Fe2O3F at its relaxed geometry. Values from VASP.

Geometry as Quantum ESPRESSO input:
```
&SYSTEM
  ibrav = 0, nat = 12, ntyp = 3
/
ATOMIC_SPECIES
O 16.00 O.upf
F 19.00 F.upf
Fe 55.84 Fe.upf
CELL_PARAMETERS angstrom
-2.168 -4.925 -1.467
3.072 -2.885 -3.653
2.305 -2.319 3.360
ATOMIC_POSITIONS crystal
O 0.839 0.839 0.180
O 0.846 0.348 0.305
O 0.154 0.652 0.695
F 0.648 0.648 0.799
Fe 0.500 0.500 0.500
O 0.652 0.154 0.695
Fe 0.000 0.000 0.500
Fe 0.000 0.500 0.000
Fe 0.500 0.000 0.000
O 0.161 0.161 0.820
O 0.348 0.846 0.305
F 0.352 0.352 0.201
```

Computed properties:
Space-group type: C2/m
Crystal system: monoclinic

## Fe5O7F3 (PBE with a Hubbard U)

Data for crystalline Fe5O7F3 at its relaxed geometry. Values from VASP.

Geometry as Quantum ESPRESSO input:
```
&SYSTEM
  ibrav = 0, nat = 30, ntyp = 3
/
ATOMIC_SPECIES
F 19.00 F.upf
O 16.00 O.upf
Fe 55.84 Fe.upf
CELL_PARAMETERS angstrom
4.614 0.020 -0.013
0.241 4.609 -0.024
-0.020 0.028 15.034
ATOMIC_POSITIONS crystal
F 0.706 0.299 0.799
O 0.293 0.703 0.399
Fe 0.999 0.006 0.601
Fe 0.477 0.481 0.299
Fe 0.477 0.479 0.499
Fe 0.527 0.541 0.695
F 0.805 0.805 0.302
F 0.186 0.194 0.103
O 0.694 0.297 0.201
F 0.812 0.814 0.103
O 0.320 0.694 0.802
Fe 0.499 0.503 0.100
O 0.698 0.294 0.399
O 0.304 0.702 0.597
O 0.693 0.306 0.598
Fe 0.020 0.976 0.805
O 0.309 0.700 0.002
O 0.180 0.185 0.494
O 0.809 0.800 0.896
O 0.690 0.310 0.001
Fe 0.000 0.004 0.205
F 0.804 0.806 0.495
O 0.826 0.813 0.705
Fe 0.008 0.011 0.399
O 0.174 0.182 0.302
O 0.297 0.700 0.201
F 0.207 0.201 0.705
Fe 0.489 0.495 0.903
Fe 0.999 0.003 0.991
O 0.198 0.198 0.898
```

Computed properties:
Space-group type: P1
Crystal system: triclinic

## Fe6O5F7 (PBE with a Hubbard U)

Data for crystalline Fe6O5F7 at its relaxed geometry. Values from VASP.

Geometry as Quantum ESPRESSO input:
```
&SYSTEM
  ibrav = 0, nat = 18, ntyp = 3
/
ATOMIC_SPECIES
F 19.00 F.upf
Fe 55.84 Fe.upf
O 16.00 O.upf
CELL_PARAMETERS angstrom
9.089 0.000 0.000
0.000 4.711 0.083
0.000 0.343 4.727
ATOMIC_POSITIONS crystal
F 0.500 0.189 0.195
F 0.169 0.191 0.171
Fe 0.500 0.541 0.520
F 0.326 0.292 0.699
F 0.169 0.801 0.812
Fe 0.659 0.974 0.014
F 0.831 0.191 0.171
F 0.674 0.292 0.699
O 0.327 0.711 0.322
Fe 0.838 0.506 0.480
Fe 0.162 0.506 0.480
F 0.831 0.801 0.812
O 0.673 0.711 0.322
O 0.000 0.705 0.291
Fe 0.341 0.974 0.014
O 0.000 0.301 0.671
O 0.500 0.810 0.846
Fe 0.000 0.005 0.979
```

Computed properties:
Space-group type: Pm
Crystal system: monoclinic

Offset from the most stable computed form, respectively: 0.014; 0.135; 0.582; 0.032; 0.197; 0.373 eV per atom.